MgCoTcRu PBE-GGA relaxed; DFT formation energy = 109 meV per atom; space-group type = F-43m, No. 216
1.0
0.000 3.033 3.033
3.033 0.000 3.033
3.033 3.033 0.000
Mg Co Tc Ru
1 1 1 1
direct
0.000 0.000 0.000
0.250 0.250 0.250
0.500 0.500 0.500
0.750 0.750 0.750

---

ThMgCoRu PBE-GGA relaxed; DFT formation energy = -174 meV per atom; space-group type = F-43m, No. 216
1.0
0.000 3.303 3.303
3.303 0.000 3.303
3.303 3.303 0.000
Th Mg Co Ru
1 1 1 1
direct
0.000 0.000 0.000
0.500 0.500 0.500
0.250 0.250 0.250
0.750 0.750 0.750

---

MgTiCoRu PBE-GGA relaxed; DFT formation energy = -267 meV per atom; space-group type = F-43m, No. 216
1.0
0.000 3.035 3.035
3.035 0.000 3.035
3.035 3.035 0.000
Mg Ti Co Ru
1 1 1 1
direct
0.000 0.000 0.000
0.500 0.500 0.500
0.750 0.750 0.750
0.250 0.250 0.250